Below is crystalline AgHg3Te4 at its relaxed geometry, with properties calculated at the PBE level. Values from VASP.

## Properties
For the energy above the most stable polymorph in this dataset, the calculation gives 0 meV/atom. The total energy is -17.2 eV per cell. For the density of states at the Fermi level, the calculation gives 0.49 states/eV per atom. The calculation puts the uncorrected formation energy at -0.105 eV/atom.

Geometry as Quantum ESPRESSO input:
```
&SYSTEM
  ibrav = 0, nat = 8, ntyp = 3
/
ATOMIC_SPECIES
Te 127.60 Te.upf
Ag 107.87 Ag.upf
Hg 200.59 Hg.upf
ATOMIC_POSITIONS crystal
Te 0.563 0.563 0.311
Te 0.060 0.060 0.821
Te 0.812 0.812 0.565
Te 0.315 0.315 0.055
Ag 0.998 0.998 0.006
Hg 0.748 0.748 0.755
Hg 0.501 0.501 0.498
Hg 0.254 0.254 0.240
CELL_PARAMETERS angstrom
4.570 -0.003 0.716
2.227 3.991 0.716
-0.067 -0.039 15.446
```